Crystalline Ho4TmNi4 at its relaxed geometry. Source: Alexandria via LeMat-Bulk, functional PBE.

Values from the calculation:
Space-group type: P4_2/n
Magnetization in μB/atom: 0.00
Energy relative to the elements in eV/atom: -0.28
Calculated total energy in Ry per atom: -0.3956
Calculated volume in Å³/f.u.: 199.3

Cell: 5.573 8.457 8.457 Å, 90.00 90.00 90.00°
Fractional positions:
Ho 0.398 0.314 0.916
Ho 0.898 0.584 0.814
Ho 0.398 0.686 0.084
Ho 0.102 0.186 0.584
Ho 0.602 0.916 0.686
Ho 0.102 0.814 0.416
Ho 0.898 0.416 0.186
Ho 0.602 0.084 0.314
Tm 0.000 0.000 0.000
Tm 0.500 0.500 0.500
Ni 0.616 0.772 0.369
Ni 0.616 0.228 0.631
Ni 0.116 0.869 0.728
Ni 0.884 0.272 0.869
Ni 0.884 0.728 0.131
Ni 0.384 0.369 0.228
Ni 0.384 0.631 0.772
Ni 0.116 0.131 0.272

---

Crystalline HoTm5Ni2 at its relaxed geometry. Source: Alexandria via LeMat-Bulk, functional PBE.

Values from the calculation:
Space-group type: Cmcm
Magnetization in μB/atom: 0.00
Energy relative to the elements in eV/atom: -0.18
Calculated total energy in Ry per atom: -0.3669
Calculated volume in Å³/f.u.: 200.8

Cell: 4.783 6.315 14.365 Å, 90.00 90.00 112.26°
Fractional positions:
Ho 0.633 0.266 0.750
Ho 0.367 0.734 0.250
Tm 0.959 0.918 0.879
Tm 0.959 0.918 0.621
Tm 0.346 0.691 0.479
Tm 0.346 0.691 0.021
Tm 0.665 0.329 0.250
Tm 0.335 0.671 0.750
Tm 0.654 0.309 0.521
Tm 0.654 0.309 0.979
Tm 0.041 0.082 0.121
Tm 0.041 0.082 0.379
Ni 0.817 0.633 0.387
Ni 0.817 0.633 0.113
Ni 0.183 0.367 0.613
Ni 0.183 0.367 0.887

---

Crystalline Ho2TmNi2 at its relaxed geometry. Source: Alexandria via LeMat-Bulk, functional PBE.

Values from the calculation:
Space-group type: C2/c
Magnetization in μB/atom: 0.00
Energy relative to the elements in eV/atom: -0.35
Calculated total energy in Ry per atom: -0.3959
Calculated volume in Å³/f.u.: 111.8

Cell: 5.658 6.356 7.066 Å, 99.46 90.00 116.43°
Fractional positions:
Ho 0.550 0.321 0.155
Ho 0.229 0.679 0.345
Ho 0.450 0.679 0.845
Ho 0.771 0.321 0.655
Tm 0.908 0.000 0.250
Tm 0.092 0.000 0.750
Ni 0.706 0.675 0.488
Ni 0.032 0.325 0.012
Ni 0.294 0.325 0.512
Ni 0.968 0.675 0.988

---

Crystalline Ho3Tm4Ni4 at its relaxed geometry. Source: Alexandria via LeMat-Bulk, functional PBE.

Values from the calculation:
Space-group type: Immm
Magnetization in μB/atom: 0.00
Energy relative to the elements in eV/atom: -0.26
Calculated total energy in Ry per atom: -0.3852
Calculated volume in Å³/f.u.: 246.0

Cell: 3.617 8.646 9.157 Å, 118.17 101.39 90.00°
Fractional positions:
Ho 0.101 0.101 0.202
Ho 0.899 0.899 0.798
Ho 0.000 0.500 0.000
Tm 0.334 0.149 0.669
Tm 0.666 0.480 0.331
Tm 0.666 0.851 0.331
Tm 0.334 0.520 0.669
Ni 0.252 0.752 0.503
Ni 0.748 0.248 0.497
Ni 0.500 0.798 0.000
Ni 0.500 0.202 0.000

---

Crystalline HoUNi17 at its relaxed geometry. Source: Alexandria via LeMat-Bulk, functional PBE.

Values from the calculation:
Space-group type: R3m
Magnetization in μB/atom: 0.24
Energy relative to the elements in eV/atom: -0.17
Calculated total energy in Ry per atom: -0.4539
Calculated volume in Å³/f.u.: 235.9

Cell: 6.224 6.224 6.224 Å, 82.85 82.85 82.85°
Fractional positions:
Ho 0.662 0.662 0.662
U 0.335 0.335 0.335
Ni 0.298 0.003 0.700
Ni 0.700 0.298 0.003
Ni 0.003 0.700 0.298
Ni 0.298 0.700 0.003
Ni 0.003 0.298 0.700
Ni 0.700 0.003 0.298
Ni 0.346 0.848 0.346
Ni 0.346 0.346 0.848
Ni 0.848 0.346 0.346
Ni 0.650 0.160 0.650
Ni 0.650 0.650 0.160
Ni 0.160 0.650 0.650
Ni 0.998 0.501 0.998
Ni 0.998 0.998 0.501
Ni 0.501 0.998 0.998
Ni 0.903 0.903 0.903
Ni 0.103 0.103 0.103

---

Crystalline HoUNi4 at its relaxed geometry. Source: Alexandria via LeMat-Bulk, functional PBE.

Values from the calculation:
Space-group type: F-43m
Magnetization in μB/atom: 0.42
Energy relative to the elements in eV/atom: -0.26
Calculated total energy in Ry per atom: -0.4968
Calculated volume in Å³/f.u.: 90.1

Cell: 5.032 5.032 5.032 Å, 60.00 60.00 60.00°
Fractional positions:
Ni 0.625 0.625 0.126
Ni 0.625 0.126 0.625
Ni 0.625 0.625 0.625
Ni 0.126 0.625 0.625
U 0.250 0.250 0.250
Ho 0.000 0.000 0.000

---

Crystalline HoUNi10 at its relaxed geometry. Source: Alexandria via LeMat-Bulk, functional PBE.

Values from the calculation:
Space-group type: Pmmm
Magnetization in μB/atom: 0.08
Energy relative to the elements in eV/atom: -0.28
Calculated total energy in Ry per atom: -0.4720
Calculated volume in Å³/f.u.: 160.8

Cell: 3.978 4.843 8.349 Å, 90.00 90.00 90.00°
Fractional positions:
Ho 0.000 0.000 0.000
U 0.000 0.500 0.500
Ni 0.000 0.000 0.338
Ni 0.000 0.500 0.824
Ni 0.000 0.500 0.176
Ni 0.000 0.000 0.662
Ni 0.500 0.000 0.500
Ni 0.500 0.500 0.000
Ni 0.500 0.252 0.253
Ni 0.500 0.748 0.747
Ni 0.500 0.748 0.253
Ni 0.500 0.252 0.747

---

Crystalline Ho2V2Ni15 at its relaxed geometry. Source: Alexandria via LeMat-Bulk, functional PBE.

Values from the calculation:
Space-group type: R-3m
Magnetization in μB/atom: 0.10
Energy relative to the elements in eV/atom: -0.26
Calculated total energy in Ry per atom: -0.4602
Calculated volume in Å³/f.u.: 241.5

Cell: 6.279 6.279 6.279 Å, 82.36 82.36 82.36°
Fractional positions:
Ho 0.343 0.343 0.343
Ho 0.657 0.657 0.657
V 0.090 0.090 0.090
V 0.910 0.910 0.910
Ni 0.500 0.000 0.000
Ni 0.000 0.000 0.500
Ni 0.000 0.500 0.000
Ni 0.000 0.700 0.300
Ni 0.700 0.300 0.000
Ni 0.300 0.000 0.700
Ni 0.300 0.700 0.000
Ni 0.700 0.000 0.300
Ni 0.000 0.300 0.700
Ni 0.154 0.657 0.657
Ni 0.657 0.657 0.154
Ni 0.657 0.154 0.657
Ni 0.846 0.343 0.343
Ni 0.343 0.343 0.846
Ni 0.343 0.846 0.343

---

Crystalline HoVNi4 at its relaxed geometry. Source: Alexandria via LeMat-Bulk, functional PBE.

Values from the calculation:
Space-group type: F-43m
Magnetization in μB/atom: 0.40
Energy relative to the elements in eV/atom: -0.19
Calculated total energy in Ry per atom: -0.4651
Calculated volume in Å³/f.u.: 82.8

Cell: 4.892 4.892 4.892 Å, 60.00 60.00 60.00°
Fractional positions:
Ni 0.624 0.624 0.129
Ni 0.624 0.129 0.624
Ni 0.624 0.624 0.624
Ni 0.129 0.624 0.624
Ho 0.000 0.000 0.000
V 0.250 0.250 0.250

---

Crystalline HoVNi2 at its relaxed geometry. Source: Alexandria via LeMat-Bulk, functional PBE.

Values from the calculation:
Space-group type: R-3m
Magnetization in μB/atom: 0.00
Energy relative to the elements in eV/atom: -0.24
Calculated total energy in Ry per atom: -0.4818
Calculated volume in Å³/f.u.: 67.2

Cell: 4.067 4.067 5.249 Å, 67.20 67.20 60.00°
Fractional positions:
Ni 0.299 0.299 0.103
Ni 0.701 0.701 0.897
Ho 0.500 0.500 0.500
V 0.000 0.000 0.000

---

Crystalline YHo3Ni2 at its relaxed geometry. Source: Alexandria via LeMat-Bulk, functional PBE.

Values from the calculation:
Space-group type: C2/m
Magnetization in μB/atom: 0.00
Energy relative to the elements in eV/atom: -0.20
Calculated total energy in Ry per atom: -0.4039
Calculated volume in Å³/f.u.: 140.3

Cell: 5.023 9.122 8.028 Å, 125.83 90.00 105.98°
Fractional positions:
Y 0.854 0.709 0.942
Y 0.146 0.291 0.058
Ho 0.319 0.639 0.638
Ho 0.935 0.870 0.611
Ho 0.626 0.252 0.746
Ho 0.374 0.748 0.254
Ho 0.065 0.130 0.389
Ho 0.681 0.361 0.362
Ni 0.512 0.024 0.868
Ni 0.488 0.976 0.132
Ni 0.779 0.559 0.187
Ni 0.221 0.441 0.813

---

Crystalline Y2Ho3Ni4 at its relaxed geometry. Source: Alexandria via LeMat-Bulk, functional PBE.

Values from the calculation:
Space-group type: P2_1/c
Magnetization in μB/atom: 0.00
Energy relative to the elements in eV/atom: -0.39
Calculated total energy in Ry per atom: -0.4352
Calculated volume in Å³/f.u.: 191.1

Cell: 7.528 7.331 7.240 Å, 90.00 90.00 106.95°
Fractional positions:
Y 0.595 0.200 0.321
Y 0.905 0.800 0.821
Y 0.405 0.800 0.679
Y 0.095 0.200 0.179
Ho 0.000 0.500 0.500
Ho 0.500 0.500 0.000
Ho 0.751 0.236 0.830
Ho 0.749 0.764 0.330
Ho 0.249 0.764 0.170
Ho 0.251 0.236 0.670
Ni 0.882 0.089 0.529
Ni 0.618 0.911 0.029
Ni 0.118 0.911 0.471
Ni 0.382 0.089 0.971
Ni 0.884 0.500 0.119
Ni 0.616 0.500 0.619
Ni 0.116 0.500 0.881
Ni 0.384 0.500 0.381